Here is a relaxed structure of Pr2Fe12P7 from the Alexandria database. Energies are from GGA-PBEsol.

Lattice parameters (Å, degrees): 8.918 8.918 3.636 90.00 90.00 120.00
Element x y z (fractional)
Pr (0.000, 0.000, 0.000)
Pr (0.333, 0.667, 0.500)
Fe (0.035, 0.278, 0.500)
Fe (0.097, 0.715, 0.000)
Fe (0.243, 0.965, 0.500)
Fe (0.285, 0.382, 0.000)
Fe (0.456, 0.220, 0.000)
Fe (0.517, 0.454, 0.500)
Fe (0.546, 0.063, 0.500)
Fe (0.618, 0.903, 0.000)
Fe (0.722, 0.757, 0.500)
Fe (0.764, 0.544, 0.000)
Fe (0.780, 0.236, 0.000)
Fe (0.937, 0.483, 0.500)
P (0.060, 0.437, 0.000)
P (0.262, 0.228, 0.500)
P (0.377, 0.940, 0.000)
P (0.563, 0.623, 0.000)
P (0.667, 0.333, 0.500)
P (0.772, 0.034, 0.500)
P (0.966, 0.738, 0.500)

Final energy (eV for the cell shown): -174.10
DOS at the Fermi energy (states/eV/f.u.): 21.8
Formation energy from the elements (kcal/mol of atoms): -17.161


Here is a relaxed structure of FePPt3 from the Alexandria database. Energies are from GGA-PBEsol.

Lattice parameters (Å, degrees): 4.499 4.499 4.499 90.00 90.00 90.00
Element x y z (fractional)
Fe (0.000, 0.000, 0.000)
P (0.500, 0.500, 0.500)
Pt (0.000, 0.000, 0.500)
Pt (0.000, 0.500, 0.000)
Pt (0.500, 0.000, 0.000)

Final energy (eV for the cell shown): -29.30
DOS at the Fermi energy (states/eV/f.u.): 3.9
Formation energy from the elements (kcal/mol of atoms): 29.286


Here is a relaxed structure of FeP2Pt from the Alexandria database. Energies are from GGA-PBEsol.

Lattice parameters (Å, degrees): 3.543 3.543 8.303 90.00 90.00 90.00
Element x y z (fractional)
Fe (0.000, 0.000, 0.000)
Fe (0.500, 0.500, 0.500)
P (0.000, 0.000, 0.500)
P (0.000, 0.500, 0.250)
P (0.500, 0.000, 0.750)
P (0.500, 0.500, 0.000)
Pt (0.000, 0.500, 0.750)
Pt (0.500, 0.000, 0.250)

Final energy (eV for the cell shown): -54.25
DOS at the Fermi energy (states/eV/f.u.): 4.1
E above lowest polymorph (meV per atom): 321
Formation energy from the elements (kcal/mol of atoms): 2.223